[1]
Computed, not measured: a relaxed Cs3GaRh crystal at the PBE-GGA level of DFT.

Unit cell a=6.180 b=6.180 c=6.180 alpha=90.00 beta=90.00 gamma=90.00
Fractional coordinates of all 5 atoms:
Cs  0.000  0.000  0.500
Cs  0.000  0.500  0.000
Cs  0.500  0.000  0.000
Ga  0.500  0.500  0.500
Rh  0.000  0.000  0.000

Properties
Excess energy over the best structure of this formula in the dataset (meV/atom): 0.0
Total moment (μB per cell): 1.63
Symmetry: Pm-3m (221)
Raw total energy (eV per cell): -10.0
Energy of formation from the pure elements (eV per atom): 0.585

***

[2]
Computed, not measured: a relaxed RbMgCl crystal at the PBE-GGA level of DFT.

Unit cell a=4.607 b=9.830 c=4.577 alpha=90.00 beta=90.00 gamma=90.00
Fractional coordinates of all 6 atoms:
Rb  0.000  0.175  0.000
Rb  0.500  0.825  0.500
Mg  0.000  0.545  0.990
Mg  0.500  0.455  0.490
Cl  0.000  0.825  0.000
Cl  0.500  0.175  0.500

Properties
Excess energy over the best structure of this formula in the dataset (meV/atom): 0.0
Total moment (μB per cell): 0.00
Symmetry: Pmn2_1 (31)
Raw total energy (eV per cell): -15.1

***

[3]
Computed, not measured: a relaxed RbHgAsO2 crystal at the PBE-GGA level of DFT.

Unit cell a=4.812 b=4.812 c=7.292 alpha=90.00 beta=90.00 gamma=90.00
Fractional coordinates of all 5 atoms:
Rb  0.000  0.000  0.000
Hg  0.000  0.000  0.500
As  0.500  0.500  0.500
O  0.000  0.500  0.000
O  0.500  0.000  0.000

Properties
Total moment (μB per cell): 4.59
Symmetry: P4/mmm (123)
Raw total energy (eV per cell): -11.2

***

[4]
Computed, not measured: a relaxed TiVBr3 crystal at the PBE-GGA level of DFT.

Unit cell a=5.192 b=5.192 c=5.192 alpha=90.00 beta=90.00 gamma=90.00
Fractional coordinates of all 5 atoms:
Ti  0.000  0.000  0.000
V  0.500  0.500  0.500
Br  0.000  0.000  0.500
Br  0.000  0.500  0.000
Br  0.500  0.000  0.000

Properties
Excess energy over the best structure of this formula in the dataset (meV/atom): 0.0
Total moment (μB per cell): 6.00
Symmetry: Pm-3m (221)
Raw total energy (eV per cell): -22.2

***

[5]
Computed, not measured: a relaxed Ta3Ga crystal at the PBE-GGA level of DFT.

Unit cell a=5.614 b=5.614 c=5.614 alpha=150.09 beta=63.09 gamma=125.86
Fractional coordinates of all 4 atoms:
Ta  0.000  0.000  0.000
Ta  0.075  0.319  0.756
Ta  0.563  0.319  0.244
Ga  0.503  0.003  0.500

Properties
Total moment (μB per cell): 0.00
Symmetry: Imm2 (44)
Raw total energy (eV per cell): -38.5
Energy of formation from the pure elements (eV per atom): 0.027

***

[6]
Computed, not measured: a relaxed La2SnIr crystal at the PBE-GGA level of DFT.

Unit cell a=7.833 b=7.833 c=7.381 alpha=90.00 beta=90.00 gamma=149.32
Fractional coordinates of all 8 atoms:
La  0.141  0.859  0.502
La  0.141  0.859  0.998
La  0.859  0.141  0.002
La  0.859  0.141  0.498
Sn  0.499  0.501  0.750
Sn  0.501  0.499  0.250
Ir  0.310  0.690  0.750
Ir  0.690  0.310  0.250

Properties
Total moment (μB per cell): 0.00
Symmetry: Cmcm (63)
Raw total energy (eV per cell): -51.4
Energy of formation from the pure elements (eV per atom): -0.747

***

Among the records above, which one has the highest raw total energy? Cs3GaRh

***

Which value of raw total energy does entry 5 give? -38.5 eV per cell